No. 1
First-principles (PBE) data for an optimized crystal structure of CaAgAs2F, as listed in Alexandria.

## Properties
- raw total energy (eV/cell) = -18.22
- N(E_F) (states/eV per cell) = 4.4
- SG = No. 123
- energy relative to the elements, uncorrected (eV per atom) = -0.44

Cell and atoms, written as CIF:
```
data_CaAgAs2F
_cell_length_a 5.012
_cell_length_b 5.012
_cell_length_c 4.514
_cell_angle_alpha 90.00
_cell_angle_beta 90.00
_cell_angle_gamma 90.00
_space_group_name_H-M_alt 'P 1'
_space_group_IT_number 1
_space_group_name_Hall 'P 1'
loop_
_atom_site_label
_atom_site_type_symbol
_atom_site_fract_x
_atom_site_fract_y
_atom_site_fract_z
Ca1 Ca 0.000 0.000 0.000
Ag1 Ag 0.500 0.500 0.500
As1 As 0.000 0.500 0.500
As2 As 0.500 0.000 0.500
F1 F 0.500 0.500 0.000
```

---

No. 2
First-principles (PBE) data for an optimized crystal structure of RePdSCl2, as listed in Alexandria.

## Properties
- raw total energy (eV/cell) = -20.56
- N(E_F) (states/eV per cell) = 1.5
- SG = No. 123
- relative energy among the computed polymorphs (meV per atom) = 519.8
- energy relative to the elements, uncorrected (eV per atom) = 0.98

Cell and atoms, written as CIF:
```
data_RePdSCl2
_cell_length_a 4.740
_cell_length_b 4.740
_cell_length_c 4.923
_cell_angle_alpha 90.00
_cell_angle_beta 90.00
_cell_angle_gamma 90.00
_space_group_name_H-M_alt 'P 1'
_space_group_IT_number 1
_space_group_name_Hall 'P 1'
loop_
_atom_site_label
_atom_site_type_symbol
_atom_site_fract_x
_atom_site_fract_y
_atom_site_fract_z
Re1 Re 0.000 0.000 0.000
Pd1 Pd 0.500 0.500 0.500
S1 S 0.500 0.500 0.000
Cl1 Cl 0.000 0.500 0.500
Cl2 Cl 0.500 0.000 0.500
```

---

No. 3
First-principles (PBE) data for an optimized crystal structure of SmHoGeAu, as listed in Alexandria.

## Properties
- raw total energy (eV/cell) = -20.53
- N(E_F) (states/eV per cell) = 2.4
- SG = No. 38
- relative energy among the computed polymorphs (meV per atom) = 0.0
- E_form (eV/atom) = -0.83

Cell and atoms, written as CIF:
```
data_SmHoGeAu
_cell_length_a 4.352
_cell_length_b 5.890
_cell_length_c 5.890
_cell_angle_alpha 40.53
_cell_angle_beta 90.00
_cell_angle_gamma 90.00
_space_group_name_H-M_alt 'P 1'
_space_group_IT_number 1
_space_group_name_Hall 'P 1'
loop_
_atom_site_label
_atom_site_type_symbol
_atom_site_fract_x
_atom_site_fract_y
_atom_site_fract_z
Sm1 Sm 0.000 0.000 0.000
Ho1 Ho 0.500 0.278 0.278
Ge1 Ge 0.000 0.729 0.729
Au1 Au 0.500 0.559 0.559
```

---

No. 4
First-principles (PBE) data for an optimized crystal structure of Dy3Zn3Cd, as listed in Alexandria.

## Properties
- raw total energy (eV/cell) = -20.55
- N(E_F) (states/eV per cell) = 7.5
- SG = No. 44
- E_form (eV/atom) = -0.29

Cell and atoms, written as CIF:
```
data_Dy3Zn3Cd
_cell_length_a 10.313
_cell_length_b 10.313
_cell_length_c 10.313
_cell_angle_alpha 159.90
_cell_angle_beta 154.64
_cell_angle_gamma 32.57
_space_group_name_H-M_alt 'P 1'
_space_group_IT_number 1
_space_group_name_Hall 'P 1'
loop_
_atom_site_label
_atom_site_type_symbol
_atom_site_fract_x
_atom_site_fract_y
_atom_site_fract_z
Dy1 Dy 0.000 0.000 0.000
Dy2 Dy 0.393 0.393 0.000
Dy3 Dy 0.684 0.184 0.500
Zn1 Zn 0.123 0.623 0.500
Zn2 Zn 0.552 0.552 0.000
Zn3 Zn 0.840 0.840 0.000
Cd1 Cd 0.260 0.760 0.500
```